[1]
# BaFeAg2 (GGA-PBE, relaxed)
data_BaFeAg2
_chemical_formula_sum 'Ba1 Fe1 Ag2'
_symmetry_space_group_name_H-M 'P m m m'
_symmetry_Int_Tables_number 47
_cell_length_a 3.407
_cell_length_b 3.478
_cell_length_c 7.733
_cell_angle_alpha 90.00
_cell_angle_beta 90.00
_cell_angle_gamma 90.00
loop_
_symmetry_equiv_pos_as_xyz
'x,y,z'
'-x,-y,-z'
'-x,-y,z'
'x,y,-z'
'x,-y,-z'
'-x,y,z'
'-x,y,-z'
'x,-y,z'
loop_
_atom_site_label
_atom_site_fract_x
_atom_site_fract_y
_atom_site_fract_z
Ba1 0.000 0.000 0.000
Fe1 0.000 0.000 0.500
Ag1 0.500 0.500 0.320
# relative energy among the computed polymorphs: 0.62 eV per formula unit
# DFT formation energy: 1.415 eV/f.u.
# density: 7.4 g cm⁻³

[2]
# Na2Cd6Sn3 (GGA-PBE, relaxed)
data_Na2Cd6Sn3
_chemical_formula_sum 'Na4 Cd12 Sn6'
_symmetry_space_group_name_H-M 'C m m m'
_symmetry_Int_Tables_number 65
_symmetry_space_group_name_Hall '-C 2 2'
_cell_length_a 8.622
_cell_length_b 16.289
_cell_length_c 4.116
_cell_angle_alpha 90.00
_cell_angle_beta 90.00
_cell_angle_gamma 90.00
loop_
_atom_site_label
_atom_site_fract_x
_atom_site_fract_y
_atom_site_fract_z
Na1 0.224 0.000 0.000
Cd1 0.000 0.089 0.500
Cd2 0.182 0.337 0.500
Sn1 0.000 0.225 0.000
Sn2 0.000 0.500 0.500
# DFT formation energy: 0.029 eV/f.u.
# density: 6.2 g cm⁻³

[3]
# In2SeCl (GGA-PBE, relaxed)
data_In2SeCl
_chemical_formula_sum 'In2 Se1 Cl1'
_symmetry_space_group_name_H-M 'P m m m'
_symmetry_Int_Tables_number 47
_cell_length_a 4.012
_cell_length_b 4.305
_cell_length_c 6.774
_cell_angle_alpha 90.00
_cell_angle_beta 90.00
_cell_angle_gamma 90.00
loop_
_symmetry_equiv_pos_as_xyz
'x,y,z'
'-x,-y,-z'
'-x,-y,z'
'x,y,-z'
'x,-y,-z'
'-x,y,z'
'-x,y,-z'
'x,-y,z'
loop_
_atom_site_label
_atom_site_fract_x
_atom_site_fract_y
_atom_site_fract_z
In1 0.000 0.000 0.000
In2 0.000 0.500 0.500
Se1 0.500 0.000 0.500
Cl1 0.500 0.500 0.000
# relative energy among the computed polymorphs: 0.50 eV per formula unit
# formation energy (no corrections): -0.44 eV/atom
# density: 4.9 g cm⁻³